Record 1
LaSm5Er2Tm | Alexandria | PBE | optimized geometry; E = -4.52 eV per atom; volume = 33.6 Å³/atom; energy of formation = 1.42 eV/f.u.
1.0
-1.781 5.114 -1.707
-8.648 -5.462 2.100
0.264 3.436 10.023
La Sm Er Tm
2 10 4 2
direct
0.584 0.168 0.952 La
0.416 0.832 0.452 La
0.384 0.768 0.023 Sm
0.720 0.439 0.815 Sm
0.480 0.961 0.740 Sm
0.297 0.594 0.708 Sm
0.983 0.965 0.522 Sm
0.616 0.232 0.523 Sm
0.280 0.561 0.315 Sm
0.520 0.039 0.240 Sm
0.703 0.406 0.208 Sm
0.017 0.035 0.022 Sm
0.885 0.771 0.818 Er
0.113 0.227 0.734 Er
0.115 0.229 0.318 Er
0.887 0.773 0.234 Er
0.801 0.602 0.512 Tm
0.199 0.398 0.012 Tm

---

Record 2
LaSmErTm3 | Alexandria | PBE | optimized geometry; E = -4.49 eV per atom; volume = 32.3 Å³/atom; energy of formation = 0.65 eV/f.u.
1.0
-4.312 1.239 -3.657
0.788 -6.228 1.542
-7.223 1.305 8.959
La Sm Er Tm
2 2 2 6
direct
0.502 0.004 0.750 La
0.498 0.996 0.250 La
0.000 0.000 0.500 Sm
0.000 0.000 0.000 Sm
0.826 0.652 0.750 Er
0.174 0.348 0.250 Er
0.676 0.352 0.498 Tm
0.324 0.648 0.502 Tm
0.324 0.648 0.998 Tm
0.676 0.352 0.002 Tm
0.172 0.343 0.750 Tm
0.828 0.657 0.250 Tm

---

Record 3
La3SmEr6Tm2 | Alexandria | PBE | optimized geometry; E = -4.63 eV per atom; volume = 32.2 Å³/atom; energy of formation = 0.31 eV/f.u.
1.0
-3.653 -2.597 4.277
2.650 -3.516 -4.359
9.539 0.433 6.915
La Sm Er Tm
3 1 6 2
direct
0.167 0.833 0.500 La
0.833 0.167 0.500 La
0.500 0.500 0.500 La
0.000 0.000 0.000 Sm
0.919 0.585 0.756 Er
0.747 0.747 0.244 Er
0.081 0.415 0.244 Er
0.585 0.919 0.756 Er
0.253 0.253 0.756 Er
0.415 0.081 0.244 Er
0.333 0.667 0.000 Tm
0.667 0.333 0.000 Tm

---

Record 4
La5SmErTm2 | Alexandria | PBE | optimized geometry; E = -4.63 eV per atom; volume = 35.2 Å³/atom; energy of formation = 1.17 eV/f.u.
1.0
5.488 0.000 0.000
-2.744 10.812 0.000
0.000 0.000 10.688
La Sm Er Tm
10 2 2 4
direct
0.377 0.754 0.008 La
0.721 0.441 0.819 La
0.500 0.001 0.758 La
0.280 0.561 0.699 La
0.999 0.998 0.508 La
0.623 0.246 0.508 La
0.279 0.559 0.319 La
0.500 0.999 0.258 La
0.720 0.439 0.199 La
0.001 0.002 0.008 La
0.788 0.576 0.509 Sm
0.212 0.424 0.009 Sm
0.600 0.200 0.008 Er
0.400 0.800 0.508 Er
0.888 0.776 0.756 Tm
0.113 0.226 0.759 Tm
0.112 0.224 0.256 Tm
0.887 0.774 0.259 Tm